Density functional theory data (PBE+U) for a geometry-optimized Cs2CaTm2W4O16 structure.

Cell: 7.436 7.640 8.546 Å, 89.27 64.69 62.20°
Sites, in units of the cell vectors:
1 Cs 0.000 0.000 0.000
2 Cs 0.101 0.925 0.415
3 Ca 0.423 0.264 0.277
4 Tm 0.929 0.555 0.104
5 Tm 0.964 0.509 0.688
6 W 0.512 0.976 0.550
7 W 0.520 0.476 0.546
8 W 0.524 0.464 0.921
9 W 0.539 0.962 0.919
10 O 0.243 0.173 0.541
11 O 0.248 0.516 0.131
12 O 0.260 0.528 0.500
13 O 0.314 0.509 0.803
14 O 0.316 0.101 0.149
15 O 0.339 0.114 0.815
16 O 0.413 0.783 0.594
17 O 0.449 0.757 0.944
18 O 0.620 0.173 0.488
19 O 0.640 0.158 0.901
20 O 0.711 0.838 0.305
21 O 0.740 0.418 0.656
22 O 0.743 0.818 0.642
23 O 0.745 0.445 0.313
24 O 0.791 0.422 0.951
25 O 0.816 0.759 0.928

Computed properties:
Size of the total moment in μB/cell: 2.0
Final energy in eV/atom: -7.219